Record 1
Computed, not measured: an optimized crystal structure of La2NiSnH at the PBE-GGA level of DFT.

POSCAR file:
```
La2NiSnH
1.0
5.436 0.000 0.000
0.000 5.436 0.000
0.000 0.000 3.726
La Ni Sn H
2 1 1 1
direct
0.000 0.500 0.000
0.500 0.000 0.000
0.000 0.000 0.500
0.500 0.500 0.500
0.000 0.000 0.000
```

The value obtained for the total magnetic moment is 0.000 μB/f.u. The value obtained for the excess energy over the best structure of this formula in the dataset is 0.155 eV per atom. The theoretical density is 6.88 Mg/m³.



Record 2
Computed, not measured: an optimized crystal structure of LaNi2SnH at the PBE-GGA level of DFT.

POSCAR file:
```
LaNi2SnH
1.0
2.133 -5.655 0.000
2.133 5.655 0.000
0.000 0.000 6.734
La Ni Sn H
2 4 2 2
direct
0.074 0.926 0.750
0.926 0.074 0.250
0.356 0.644 0.558
0.356 0.644 0.942
0.644 0.356 0.058
0.644 0.356 0.442
0.212 0.788 0.250
0.788 0.212 0.750
0.500 0.500 0.000
0.500 0.500 0.500
```

The value obtained for the total magnetic moment is 0.000 μB/f.u. As for the energy: -5.2355 eV/atom. The theoretical density is 7.69 Mg/m³.



Record 3
Computed, not measured: an optimized crystal structure of LaNiSnH at the PBE-GGA level of DFT.

POSCAR file:
```
LaNiSnH
1.0
4.396 0.000 0.000
-2.198 3.807 0.000
0.000 0.000 4.502
La Ni Sn H
1 1 1 1
direct
0.000 0.000 0.000
0.667 0.333 0.576
0.333 0.667 0.492
0.667 0.333 0.927
```

The value obtained for the total magnetic moment is 0.000 μB/f.u. The value obtained for the excess energy over the best structure of this formula in the dataset is 0.035 eV per atom. The theoretical density is 6.99 Mg/m³.



Record 4
Computed, not measured: an optimized crystal structure of LaNiSnH at the PBE-GGA level of DFT.

POSCAR file:
```
LaNiSnH
1.0
7.301 0.000 0.000
0.000 4.461 0.000
0.000 0.000 8.707
La Ni Sn H
4 4 4 4
direct
0.013 0.250 0.188
0.487 0.750 0.688
0.513 0.250 0.312
0.987 0.750 0.812
0.219 0.750 0.404
0.281 0.250 0.904
0.719 0.750 0.096
0.781 0.250 0.596
0.154 0.250 0.566
0.346 0.750 0.066
0.654 0.250 0.934
0.846 0.750 0.434
0.063 0.250 0.919
0.437 0.750 0.419
0.563 0.250 0.581
0.937 0.750 0.081
```

The value obtained for the total magnetic moment is 0.000 μB/f.u. The value obtained for the excess energy over the best structure of this formula in the dataset is 0.000 eV per atom. The theoretical density is 7.43 Mg/m³.